Computed, not measured: crystalline BaCl at its relaxed geometry at the PBE level of DFT.

Computed properties:
Formation energy from raw total energies (eV per atom): -0.91
V (Å³ per cell): 130.94
Final energy (eV/atom): -2.797

Lattice parameters (Å, degrees): 5.700 5.700 5.700 60.00 60.00 60.00
Last column: magnetic moment on the atom in μB.
Atoms (fractional coordinates):
Ba (0.000, 0.000, 0.000)  0.40
Ba (0.250, 0.250, 0.250)  0.40
Cl (0.500, 0.500, 0.500)  0.01
Cl (0.750, 0.750, 0.750)  0.01

---

Computed, not measured: crystalline Ce2Er2ZnSi4 at its relaxed geometry at the PBE level of DFT.

Computed properties:
Formation energy from raw total energies (eV per atom): -0.14
V (Å³ per cell): 199.62
Final energy (eV/atom): -5.027

Lattice parameters (Å, degrees): 6.450 6.450 6.450 97.13 115.97 115.97
Last column: magnetic moment on the atom in μB.
Atoms (fractional coordinates):
Ce (0.000, 0.683, 0.683)  0.54
Ce (0.000, 0.317, 0.317)  0.54
Er (0.500, 0.750, 0.250)  0.13
Er (0.500, 0.250, 0.750)  0.13
Zn (0.000, 0.000, 0.000)  0.01
Si (0.000, 0.757, 0.243)  0.00
Si (0.513, 0.757, 0.757)  0.00
Si (0.000, 0.243, 0.757)  0.00
Si (0.487, 0.243, 0.243)  0.00

---

Computed, not measured: crystalline La2CeZn at its relaxed geometry at the PBE level of DFT.

Computed properties:
E above lowest polymorph (eV/f.u.): 0.73
ΔH_f (0 K) (eV/atom): 0.0733
V (Å³ per cell): 112.71
Final energy (eV/atom): -4.192

Lattice parameters (Å, degrees): 5.422 5.422 5.422 60.00 60.00 60.00
Last column: magnetic moment on the atom in μB.
Atoms (fractional coordinates):
Zn (0.500, 0.500, 0.500)  -0.02
Ce (0.000, 0.000, 0.000)  1.10
La (0.250, 0.250, 0.250)  0.27
La (0.750, 0.750, 0.750)  0.27

---

Computed, not measured: crystalline KBiSe2Cl at its relaxed geometry at the PBE level of DFT.

Computed properties:
Formation energy from raw total energies (eV per atom): -0.28
V (Å³ per cell): 352.00
Final energy (eV/atom): -3.041

Lattice parameters (Å, degrees): 5.323 12.422 5.323 90.00 90.00 90.00
Atoms (fractional coordinates):
K (0.000, 0.500, 0.000)
Bi (0.000, 0.000, 0.000)
Se (0.000, 0.000, 0.500)
Se (0.500, 0.000, 0.000)
Cl (0.500, 0.500, 0.500)